Record 1
Entry from Alexandria via LeMat-Bulk: Ho2B4O9 at its PBEsol-relaxed geometry (meta-GGA SCAN).

Cell: 6.099 6.350 7.435 Å, 102.73 97.38 102.47°
Element x y z (fractional)
1 O 0.777 0.575 0.042
2 O 0.234 0.737 0.213
3 B 0.996 0.143 0.191
4 Ho 0.887 0.675 0.359
5 O 0.930 0.042 0.327
6 B 0.734 0.334 0.981
7 O 0.190 0.126 0.121
8 Ho 0.550 0.091 0.288
9 O 0.766 0.263 0.787
10 O 0.417 0.180 0.552
11 B 0.266 0.666 0.019
12 B 0.625 0.357 0.650
13 B 0.004 0.857 0.809
14 B 0.375 0.643 0.350
15 O 0.223 0.425 0.958
16 O 0.136 0.715 0.854
17 O 0.864 0.285 0.146
18 O 0.070 0.958 0.673
19 O 0.496 0.207 0.977
20 O 0.504 0.793 0.023
21 O 0.465 0.462 0.252
22 O 0.583 0.820 0.448
23 Ho 0.113 0.325 0.641
24 O 0.781 0.407 0.522
25 O 0.219 0.593 0.478
26 Ho 0.450 0.909 0.712
27 B 0.661 0.685 0.928
28 O 0.535 0.538 0.748
29 O 0.810 0.874 0.879
30 B 0.339 0.315 0.072

Results
Total energy ... -15.403 eV per atom


Record 2
Entry from Alexandria via LeMat-Bulk: Li5Ir at its PBEsol-relaxed geometry (meta-GGA SCAN).

Cell: 2.534 4.530 8.043 Å, 90.00 99.06 90.00°
Element x y z (fractional)
1 Li 0.090 0.500 0.181
2 Li 0.659 0.000 0.318
3 Li 0.448 0.500 0.896
4 Li 0.767 0.500 0.534
5 Li 0.360 0.000 0.721
6 Ir 0.008 0.000 0.017

Results
ΔH_f (0 K) ... -0.10 eV per atom
Total energy ... -13.942 eV per atom


Record 3
Entry from Alexandria via LeMat-Bulk: HgSbAsSe2 at its PBEsol-relaxed geometry (meta-GGA SCAN).

Cell: 5.229 5.229 5.301 Å, 90.00 90.00 90.00°
Element x y z (fractional)
1 As 0.000 0.000 0.500
2 Se 0.500 0.000 0.000
3 Hg 0.500 0.500 0.500
4 Se 0.000 0.500 0.000
5 Sb 0.000 0.000 0.000

Results
Total energy ... -32.560 eV per atom


Record 4
Entry from Alexandria via LeMat-Bulk: CaMn3Bi at its PBEsol-relaxed geometry (meta-GGA SCAN).

Cell: 4.804 4.804 4.804 Å, 90.00 90.00 90.00°
Element x y z (fractional)
1 Mn 0.000 0.500 0.000
2 Ca 0.000 0.000 0.000
3 Bi 0.500 0.500 0.500
4 Mn 0.500 0.000 0.000
5 Mn 0.000 0.000 0.500

Results
ΔH_f (0 K) ... 1.35 eV per atom
Total energy ... -27.248 eV per atom


Record 5
Entry from Alexandria via LeMat-Bulk: BiSb2Os at its PBEsol-relaxed geometry (meta-GGA SCAN).

Cell: 6.440 6.440 7.640 Å, 114.93 114.93 90.00°
Element x y z (fractional)
1 Os 0.500 0.500 0.000
2 Os 0.750 0.250 0.500
3 Sb 0.625 0.558 0.750
4 Sb 0.125 0.192 0.750
5 Sb 0.808 0.375 0.250
6 Bi 0.000 0.000 0.000
7 Bi 0.250 0.750 0.500
8 Sb 0.442 0.875 0.250

Results
Total energy ... -55.754 eV per atom


Record 6
Entry from Alexandria via LeMat-Bulk: B2SbRuI at its PBEsol-relaxed geometry (meta-GGA SCAN).

Cell: 4.281 4.281 5.965 Å, 90.00 90.00 90.00°
Element x y z (fractional)
1 Sb 0.000 0.000 0.000
2 Ru 0.500 0.500 0.500
3 B 0.000 0.500 0.000
4 I 0.000 0.000 0.500
5 B 0.500 0.000 0.000

Results
Total energy ... -22.439 eV per atom


Record 7
Entry from Alexandria via LeMat-Bulk: SrMgAg3 at its PBEsol-relaxed geometry (meta-GGA SCAN).

Cell: 5.019 5.019 5.019 Å, 90.00 90.00 90.00°
Element x y z (fractional)
1 Ag 0.000 0.500 0.000
2 Ag 0.500 0.000 0.000
3 Mg 0.000 0.000 0.000
4 Sr 0.500 0.500 0.500
5 Ag 0.000 0.000 0.500

Results
ΔH_f (0 K) ... 0.07 eV per atom
Total energy ... -24.202 eV per atom


Record 8
Entry from Alexandria via LeMat-Bulk: CuWBr2 at its PBEsol-relaxed geometry (meta-GGA SCAN).

Cell: 3.094 4.847 7.254 Å, 109.72 90.00 108.61°
Element x y z (fractional)
1 Cu 0.432 0.863 0.374
2 Br 0.099 0.199 0.080
3 W 0.705 0.411 0.375
4 Br 0.264 0.527 0.671

Results
Total energy ... -30.428 eV per atom


Record 9
Entry from Alexandria via LeMat-Bulk: Cr2SbCl at its PBEsol-relaxed geometry (meta-GGA SCAN).

Cell: 3.325 3.655 6.793 Å, 90.01 90.00 90.00°
Element x y z (fractional)
1 Cr 0.000 0.500 0.712
2 Sb 0.500 0.000 0.500
3 Cr 0.000 0.500 0.288
4 Cl 0.500 0.500 0.000

Results
Total energy ... -20.778 eV per atom


Record 10
Entry from Alexandria via LeMat-Bulk: ZnSbOs at its PBEsol-relaxed geometry (meta-GGA SCAN).

Cell: 3.091 3.091 6.394 Å, 90.00 90.00 120.00°
Element x y z (fractional)
1 Sb 0.333 0.667 0.695
2 Os 0.000 0.000 0.003
3 Zn 0.667 0.333 0.302

Results
Total energy ... -40.468 eV per atom


Record 11
Entry from Alexandria via LeMat-Bulk: YTlSe2 at its PBEsol-relaxed geometry (meta-GGA SCAN).

Cell: 4.193 4.193 5.915 Å, 90.00 90.00 90.00°
Element x y z (fractional)
1 Y 0.500 0.500 0.500
2 Se 0.000 0.000 0.500
3 Se 0.500 0.500 0.000
4 Tl 0.000 0.000 0.000

Results
Total energy ... -36.354 eV per atom


Record 12
Entry from Alexandria via LeMat-Bulk: Cu2B2Pb at its PBEsol-relaxed geometry (meta-GGA SCAN).

Cell: 3.735 3.735 5.128 Å, 111.36 111.36 90.00°
Element x y z (fractional)
1 B 0.598 0.598 0.196
2 Cu 0.750 0.250 0.500
3 Cu 0.250 0.750 0.500
4 Pb 0.000 0.000 0.000
5 B 0.402 0.402 0.804

Results
ΔH_f (0 K) ... 0.63 eV per atom
Total energy ... -23.576 eV per atom


Record 13
Entry from Alexandria via LeMat-Bulk: MnZnFeH2 at its PBEsol-relaxed geometry (meta-GGA SCAN).

Cell: 3.333 3.333 5.114 Å, 90.00 90.00 90.00°
Element x y z (fractional)
1 H 0.500 0.000 0.000
2 Fe 0.500 0.500 0.500
3 H 0.000 0.500 0.000
4 Mn 0.000 0.000 0.500
5 Zn 0.000 0.000 0.000

Results
Total energy ... -10.534 eV per atom


Record 14
Entry from Alexandria via LeMat-Bulk: AgMo2Au at its PBEsol-relaxed geometry (meta-GGA SCAN).

Cell: 2.660 4.140 5.755 Å, 90.00 90.00 90.00°
Element x y z (fractional)
1 Ag 0.000 0.000 0.500
2 Mo 0.500 0.500 0.242
3 Au 0.500 0.500 0.749
4 Mo 0.000 0.000 0.009

Results
ΔH_f (0 K) ... 0.31 eV per atom
Total energy ... -42.261 eV per atom


Record 15
Entry from Alexandria via LeMat-Bulk: CeNdAl4 at its PBEsol-relaxed geometry (meta-GGA SCAN).

Cell: 5.600 5.600 5.600 Å, 60.00 60.00 60.00°
Element x y z (fractional)
1 Al 0.376 0.376 0.873
2 Al 0.376 0.873 0.376
3 Al 0.376 0.376 0.376
4 Ce 0.750 0.750 0.750
5 Al 0.873 0.376 0.376
6 Nd 0.000 0.000 0.000

Results
ΔH_f (0 K) ... -0.50 eV per atom
Total energy ... -20.358 eV per atom


Record 16
Entry from Alexandria via LeMat-Bulk: LaSiTe2 at its PBEsol-relaxed geometry (meta-GGA SCAN).

Cell: 4.249 4.588 6.150 Å, 111.90 110.21 90.00°
Element x y z (fractional)
1 La 0.504 0.504 0.008
2 Te 0.748 0.248 0.497
3 Si 0.256 0.756 0.513
4 Te 0.991 0.991 0.983

Results
Total energy ... -32.478 eV per atom


Record 17
Entry from Alexandria via LeMat-Bulk: Al2InRu at its PBEsol-relaxed geometry (meta-GGA SCAN).

Cell: 3.003 3.003 8.856 Å, 80.24 80.24 60.00°
Element x y z (fractional)
1 Al 0.737 0.737 0.790
2 In 0.500 0.500 0.500
3 Ru 0.000 0.000 0.000
4 Al 0.263 0.263 0.210

Results
ΔH_f (0 K) ... -0.22 eV per atom
Total energy ... -21.153 eV per atom


Record 18
Entry from Alexandria via LeMat-Bulk: TcPdCl2 at its PBEsol-relaxed geometry (meta-GGA SCAN).

Cell: 3.028 3.028 8.271 Å, 79.45 79.45 60.00°
Element x y z (fractional)
1 Cl 0.096 0.096 0.712
2 Tc 0.500 0.500 0.500
3 Cl 0.904 0.904 0.288
4 Pd 0.000 0.000 0.000

Results
Total energy ... -20.810 eV per atom


Record 19
Entry from Alexandria via LeMat-Bulk: Ba3CoRh at its PBEsol-relaxed geometry (meta-GGA SCAN).

Cell: 5.414 5.414 5.414 Å, 90.00 90.00 90.00°
Element x y z (fractional)
1 Rh 0.500 0.500 0.500
2 Ba 0.000 0.500 0.000
3 Ba 0.000 0.000 0.500
4 Co 0.000 0.000 0.000
5 Ba 0.500 0.000 0.000

Results
ΔH_f (0 K) ... 0.64 eV per atom
Total energy ... -33.304 eV per atom


Record 20
Entry from Alexandria via LeMat-Bulk: Mo3W4 at its PBEsol-relaxed geometry (meta-GGA SCAN).

Cell: 3.143 3.143 11.211 Å, 98.06 98.06 90.00°
Element x y z (fractional)
1 Mo 0.000 0.000 0.000
2 W 0.571 0.571 0.143
3 Mo 0.286 0.286 0.571
4 W 0.857 0.857 0.713
5 W 0.143 0.143 0.287
6 Mo 0.714 0.714 0.429
7 W 0.429 0.429 0.857

Results
ΔH_f (0 K) ... 0.00 eV per atom
Total energy ... -54.777 eV per atom


Record 21
Entry from Alexandria via LeMat-Bulk: SrSc2Sb2 at its PBEsol-relaxed geometry (meta-GGA SCAN).

Cell: 5.444 5.444 6.397 Å, 115.19 115.19 90.00°
Element x y z (fractional)
1 Sc 0.335 0.335 0.671
2 Sr 0.000 0.000 0.000
3 Sc 0.665 0.665 0.329
4 Sb 0.250 0.750 0.500
5 Sb 0.750 0.250 0.500

Results
Total energy ... -25.673 eV per atom


Record 22
Entry from Alexandria via LeMat-Bulk: Mn2CoPt at its PBEsol-relaxed geometry (meta-GGA SCAN).

Cell: 3.573 3.573 4.422 Å, 113.83 113.83 90.00°
Element x y z (fractional)
1 Mn 0.750 0.250 0.500
2 Co 0.000 0.000 0.000
3 Pt 0.500 0.500 0.000
4 Mn 0.250 0.750 0.500

Results
ΔH_f (0 K) ... -0.15 eV per atom
Total energy ... -31.156 eV per atom


Record 23
Entry from Alexandria via LeMat-Bulk: Ag2OsPt at its PBEsol-relaxed geometry (meta-GGA SCAN).

Cell: 2.738 2.738 9.541 Å, 81.75 81.75 60.00°
Element x y z (fractional)
1 Os 0.500 0.500 0.500
2 Pt 0.000 0.000 0.000
3 Ag 0.750 0.750 0.749
4 Ag 0.250 0.250 0.251

Results
ΔH_f (0 K) ... 0.36 eV per atom
Total energy ... -50.841 eV per atom


Record 24
Entry from Alexandria via LeMat-Bulk: CaFeCu2 at its PBEsol-relaxed geometry (meta-GGA SCAN).

Cell: 3.096 3.096 6.513 Å, 90.00 90.00 90.00°
Element x y z (fractional)
1 Fe 0.500 0.500 0.000
2 Ca 0.500 0.500 0.500
3 Cu 0.000 0.000 0.811
4 Cu 0.000 0.000 0.189

Results
ΔH_f (0 K) ... 0.19 eV per atom
Total energy ... -14.357 eV per atom


Record 25
Entry from Alexandria via LeMat-Bulk: La5Hg at its PBEsol-relaxed geometry (meta-GGA SCAN).

Cell: 3.712 3.712 13.927 Å, 90.00 90.00 90.00°
Element x y z (fractional)
1 La 0.000 0.000 0.000
2 Hg 0.500 0.500 0.500
3 La 0.000 0.000 0.357
4 La 0.500 0.500 0.179
5 La 0.500 0.500 0.821
6 La 0.000 0.000 0.643

Results
ΔH_f (0 K) ... -0.23 eV per atom
Total energy ... -47.512 eV per atom


Record 26
Entry from Alexandria via LeMat-Bulk: RuPt at its PBEsol-relaxed geometry (meta-GGA SCAN).

Cell: 3.822 3.822 4.707 Å, 113.96 113.96 90.00°
Element x y z (fractional)
1 Ru 0.000 0.000 0.000
2 Pt 0.750 0.250 0.500
3 Pt 0.500 0.500 0.000
4 Ru 0.250 0.750 0.500

Results
ΔH_f (0 K) ... -0.01 eV per atom
Total energy ... -52.518 eV per atom


Record 27
Entry from Alexandria via LeMat-Bulk: Sc2SiSe at its PBEsol-relaxed geometry (meta-GGA SCAN).

Cell: 3.317 3.317 8.672 Å, 78.97 78.97 60.00°
Element x y z (fractional)
1 Se 0.504 0.504 0.488
2 Sc 0.992 0.992 0.024
3 Sc 0.761 0.761 0.716
4 Si 0.243 0.243 0.272

Results
Total energy ... -14.890 eV per atom


Record 28
Entry from Alexandria via LeMat-Bulk: K3NaAu at its PBEsol-relaxed geometry (meta-GGA SCAN).

Cell: 6.364 6.364 6.364 Å, 90.00 90.00 90.00°
Element x y z (fractional)
1 Na 0.500 0.500 0.500
2 K 0.500 0.000 0.000
3 Au 0.000 0.000 0.000
4 K 0.000 0.000 0.500
5 K 0.000 0.500 0.000

Results
ΔH_f (0 K) ... -0.14 eV per atom
Total energy ... -19.813 eV per atom